This record from the Alexandria database describes an optimized crystal structure of Ca2TeCl2. The functional is PBE.

Unit cell a=4.3426 b=4.3455 c=9.4911 alpha=90.22 beta=90.00 gamma=119.98
Closest atoms and distances in Å follow each position.
Fractional coordinates of all 5 atoms:
Te 0.5000 0.0000 0.5000  6 Ca 3.17
Cl 0.8355 0.6711 0.8365  3 Ca 2.81
Cl 0.1645 0.3289 0.1635  3 Ca 2.81
Ca 0.8319 0.6639 0.2964  3 Cl 2.81
Ca 0.1681 0.3361 0.7036  3 Cl 2.81

formation energy from raw total energies	-10.358	eV per formula unit
symmetry	C2/m, No. 12
total energy	-4.24	eV per atom
total magnetization	0.00	μB per formula unit



This record from the Alexandria database describes an optimized crystal structure of CeYC. The functional is PBE.

Unit cell a=3.5697 b=3.5687 c=6.6636 alpha=74.34 beta=74.46 gamma=59.99
Closest atoms and distances in Å follow each position.
Fractional coordinates of all 3 atoms:
C 0.4082 0.5370 0.6466  3 Y 2.49, 3 Ce 2.49
Ce 0.1474 0.2781 0.4271  3 C 2.49
Y 0.6690 0.7960 0.8660  3 C 2.49

E above lowest polymorph	0	meV per atom
symmetry	Cm, No. 8
total energy	-7.41	eV per atom
total magnetization	1.09	μB per formula unit



This record from the Alexandria database describes an optimized crystal structure of IrC2. The functional is PBE.

Unit cell a=3.8889 b=3.8889 c=5.8729 alpha=82.06 beta=82.06 gamma=41.50
Closest atoms and distances in Å follow each position.
Fractional coordinates of all 6 atoms:
C 0.6155 0.6155 0.6946  2 C 1.43-1.47
C 0.4245 0.4245 0.6622  1 C 1.43
C 0.9058 0.9058 0.0537  4 Ir 2.05-2.25
C 0.6936 0.6936 0.4496  1 C 1.47
Ir 0.2132 0.2132 0.9305  6 C 2.03-2.25
Ir 0.9806 0.9806 0.3761  6 C 2.05-2.16

E above lowest polymorph	476	meV per atom
symmetry	Cm, No. 8
total energy	-8.04	eV per atom
total magnetization	0.00	μB per formula unit



This record from the Alexandria database describes an optimized crystal structure of NdSn2Rh4. The functional is PBE.

Unit cell a=4.1354 b=8.0417 c=8.0417 alpha=90.00 beta=90.00 gamma=90.00
Closest atoms and distances in Å follow each position.
Fractional coordinates of all 14 atoms:
Rh 0.0000 0.0813 0.3526  3 Sn 2.66-2.67, 5 Rh 2.71-2.82
Rh 0.5000 0.1474 0.5813  3 Sn 2.66-2.67, 5 Rh 2.71-2.82
Rh 0.0000 0.9187 0.6474  3 Sn 2.66-2.67, 5 Rh 2.71-2.82
Rh 0.0000 0.6474 0.9187  3 Sn 2.66-2.67, 5 Rh 2.71-2.82
Rh 0.5000 0.4187 0.8526  3 Sn 2.66-2.67, 5 Rh 2.71-2.82
Rh 0.5000 0.8526 0.4187  3 Sn 2.66-2.67, 5 Rh 2.71-2.82
Rh 0.5000 0.5813 0.1474  3 Sn 2.66-2.67, 5 Rh 2.71-2.82
Rh 0.0000 0.3526 0.0813  3 Sn 2.66-2.67, 5 Rh 2.71-2.82
Sn 0.0000 0.2232 0.7768  6 Rh 2.66-2.67
Sn 0.0000 0.7768 0.2232  6 Rh 2.66-2.67
Sn 0.5000 0.2768 0.2768  6 Rh 2.66-2.67
Sn 0.5000 0.7232 0.7232  6 Rh 2.66-2.67
Nd 0.5000 0.0000 0.0000  6 Sn 3.15-3.27
Nd 0.0000 0.5000 0.5000  6 Sn 3.15-3.27

symmetry	P4_2/mnm, No. 136
total energy	-6.54	eV per atom
total magnetization	0.00	μB per formula unit